Material: LiCdTc2N
Method: DFT, PBE-GGA
State: optimized geometry

Computed properties:
crystal system = tetragonal
electronic total energy = -6.399 eV per atom
total magnetization = 0.00 μB/f.u.
formation energy (no corrections) = -21 meV per atom
DOS at the Fermi energy = 4.7 states/eV per cell

abc: 3.9957 3.9957 4.3709
angles: 90.00 90.00 90.00
Fractional positions:
Tc 0.0000 0.5000 0.0000
Tc 0.5000 0.0000 0.0000
N 0.0000 0.0000 0.0000
Li 0.0000 0.0000 0.5000
Cd 0.5000 0.5000 0.5000